Material: UTlCu
Method: DFT, PBE-GGA
State: optimized geometry

a b c (Å): 4.8895 4.8895 4.8895
angles (deg): 60.00 60.00 60.00
Closest atoms and distances in Å follow each position.
Atoms (fractional coordinates):
1 U 0.0000 0.0000 0.0000  4 Tl 2.99, 4 Cu 2.99
2 Tl 0.2500 0.2500 0.2500  4 U 2.99
3 Cu 0.7500 0.7500 0.7500  4 U 2.99

symmetry = No. 216
E_tot = -14.268 eV per cell